[1]
A plane-wave DFT calculation with PBE was carried out for an optimized crystal structure of CoCuRhW.

a b c (Å): 4.224 4.224 4.224
angles (deg): 60.00 60.00 60.00
Positions (direct):
Cu1 0.250 0.250 0.250
Co1 0.500 0.500 0.500
W1 0.750 0.750 0.750
Rh1 0.000 0.000 0.000

Results
energy of formation from the pure elements	0.08	eV/atom


[2]
A plane-wave DFT calculation with PBE was carried out for an optimized crystal structure of SmGdZnPb.

a b c (Å): 5.322 5.322 5.322
angles (deg): 60.00 60.00 60.00
Positions (direct):
Zn1 0.000 0.000 0.000
Pb1 0.500 0.500 0.500
Gd1 0.750 0.750 0.750
Sm1 0.250 0.250 0.250

Results
energy of formation from the pure elements	-0.39	eV/atom


[3]
A plane-wave DFT calculation with PBE was carried out for an optimized crystal structure of Zr2CuAs.

a b c (Å): 4.358 4.483 3.711
angles (deg): 90.00 90.00 90.00
Positions (direct):
Zr1 0.000 0.000 0.000
Zr2 0.500 0.500 0.000
As1 0.500 0.000 0.500
Cu1 0.000 0.500 0.500

Results
energy of formation from the pure elements	-0.48	eV/atom


[4]
A plane-wave DFT calculation with PBE was carried out for an optimized crystal structure of Be16Nb2Pt.

a b c (Å): 5.665 5.665 5.665
angles (deg): 83.00 83.00 83.00
Positions (direct):
Be1 0.495 0.003 0.003
Be2 0.839 0.347 0.347
Be3 0.003 0.003 0.495
Be4 0.651 0.165 0.651
Be5 0.347 0.839 0.347
Be6 0.111 0.111 0.111
Be7 0.998 0.296 0.702
Be8 0.347 0.347 0.839
Be9 0.702 0.296 0.998
Be10 0.651 0.651 0.165
Be11 0.296 0.998 0.702
Be12 0.003 0.495 0.003
Be13 0.702 0.998 0.296
Be14 0.998 0.702 0.296
Be15 0.296 0.702 0.998
Be16 0.165 0.651 0.651
Nb1 0.653 0.653 0.653
Nb2 0.339 0.339 0.339
Pt1 0.906 0.906 0.906

Results
energy of formation from the pure elements	-0.29	eV/atom


[5]
A plane-wave DFT calculation with PBE was carried out for an optimized crystal structure of K2CdMo.

a b c (Å): 6.916 6.916 6.479
angles (deg): 71.87 71.87 28.95
Positions (direct):
K1 0.972 0.972 0.058
K2 0.776 0.776 0.692
Mo1 0.546 0.546 0.509
Cd1 0.206 0.206 0.241

Results
energy of formation from the pure elements	0.96	eV/atom


[6]
A plane-wave DFT calculation with PBE was carried out for an optimized crystal structure of Tc2HgW.

a b c (Å): 9.644 9.644 9.644
angles (deg): 16.87 16.87 16.87
Positions (direct):
W1 0.495 0.495 0.495
Tc1 0.747 0.747 0.747
Tc2 0.007 0.007 0.007
Hg1 0.252 0.252 0.252

Results
energy of formation from the pure elements	0.39	eV/atom


[7]
A plane-wave DFT calculation with PBE was carried out for an optimized crystal structure of Tm3MgIn.

a b c (Å): 5.007 5.005 11.001
angles (deg): 90.00 76.85 90.00
Positions (direct):
Tm1 0.270 0.750 0.109
Tm2 0.074 0.750 0.500
Tm3 0.881 0.750 0.886
Tm4 0.767 0.250 0.114
Tm5 0.379 0.250 0.891
Tm6 0.574 0.250 0.500
Mg1 0.172 0.250 0.305
Mg2 0.477 0.750 0.695
In1 0.980 0.250 0.689
In2 0.669 0.750 0.311

Results
energy of formation from the pure elements	-0.23	eV/atom


[8]
A plane-wave DFT calculation with PBE was carried out for an optimized crystal structure of Sr2Y2Tl.

a b c (Å): 9.712 9.712 9.712
angles (deg): 152.74 152.74 38.93
Positions (direct):
Tl1 0.000 0.000 0.000
Y1 0.583 0.583 0.000
Y2 0.417 0.417 0.000
Sr1 0.750 0.250 0.500
Sr2 0.250 0.750 0.500

Results
energy of formation from the pure elements	0.47	eV/atom


[9]
A plane-wave DFT calculation with PBE was carried out for an optimized crystal structure of ScAl3Tc.

a b c (Å): 6.311 6.311 6.311
angles (deg): 90.00 90.00 90.00
Positions (direct):
Tc1 0.000 0.000 0.500
Tc2 0.000 0.500 0.000
Tc3 0.500 0.000 0.000
Al1 0.784 0.216 0.216
Al2 0.500 0.500 0.500
Al3 0.216 0.784 0.216
Al4 0.784 0.216 0.784
Al5 0.216 0.216 0.784
Al6 0.784 0.784 0.216
Al7 0.216 0.216 0.216
Al8 0.216 0.784 0.784
Al9 0.784 0.784 0.784
Sc1 0.000 0.500 0.500
Sc2 0.500 0.000 0.500
Sc3 0.500 0.500 0.000

Results
energy of formation from the pure elements	-0.50	eV/atom


[10]
A plane-wave DFT calculation with PBE was carried out for an optimized crystal structure of LiNbHg.

a b c (Å): 3.864 3.864 7.550
angles (deg): 90.00 90.00 90.00
Positions (direct):
Nb1 0.000 0.500 0.915
Nb2 0.500 0.000 0.085
Hg1 0.000 0.000 0.500
Hg2 0.500 0.500 0.500
Li1 0.500 0.000 0.742
Li2 0.000 0.500 0.258

Results
energy of formation from the pure elements	0.42	eV/atom


[11]
A plane-wave DFT calculation with PBE was carried out for an optimized crystal structure of TmPaTa4.

a b c (Å): 5.674 5.674 5.674
angles (deg): 60.00 60.00 60.00
Positions (direct):
Ta1 0.127 0.624 0.624
Ta2 0.624 0.624 0.127
Ta3 0.624 0.624 0.624
Ta4 0.624 0.127 0.624
Tm1 0.000 0.000 0.000
Pa1 0.250 0.250 0.250

Results
energy of formation from the pure elements	0.17	eV/atom


[12]
A plane-wave DFT calculation with PBE was carried out for an optimized crystal structure of CaB4C4.

a b c (Å): 2.792 7.104 7.104
angles (deg): 90.00 90.00 90.00
Positions (direct):
B1 0.000 0.808 0.368
B2 0.500 0.692 0.132
B3 0.000 0.192 0.632
B4 0.500 0.308 0.868
B5 0.000 0.632 0.808
B6 0.500 0.132 0.308
B7 0.000 0.368 0.192
B8 0.500 0.868 0.692
C1 0.000 0.211 0.400
C2 0.000 0.400 0.789
C3 0.500 0.900 0.289
C4 0.000 0.789 0.600
C5 0.500 0.289 0.100
C6 0.500 0.711 0.900
C7 0.500 0.100 0.711
C8 0.000 0.600 0.211
Ca1 0.000 0.000 0.000
Ca2 0.500 0.500 0.500

Results
energy of formation from the pure elements	0.21	eV/atom


[13]
A plane-wave DFT calculation with PBE was carried out for an optimized crystal structure of Ac3NiRh3.

a b c (Å): 4.352 4.222 9.879
angles (deg): 102.34 102.72 90.00
Positions (direct):
Rh1 0.860 0.360 0.719
Rh2 0.561 0.561 0.122
Rh3 0.146 0.646 0.293
Ni1 0.431 0.431 0.862
Ac1 0.318 0.818 0.636
Ac2 0.001 0.001 0.002
Ac3 0.683 0.183 0.366

Results
energy of formation from the pure elements	-0.56	eV/atom


[14]
A plane-wave DFT calculation with PBE was carried out for an optimized crystal structure of LiYGaPd.

a b c (Å): 4.675 4.675 4.675
angles (deg): 60.00 60.00 60.00
Positions (direct):
Y1 0.750 0.750 0.750
Pd1 0.500 0.500 0.500
Ga1 0.250 0.250 0.250
Li1 0.000 0.000 0.000

Results
energy of formation from the pure elements	-0.61	eV/atom


[15]
A plane-wave DFT calculation with PBE was carried out for an optimized crystal structure of CaLa2AgIr.

a b c (Å): 5.480 5.480 5.501
angles (deg): 90.00 90.00 90.00
Positions (direct):
Ir1 0.000 0.000 0.000
La1 0.000 0.500 0.000
La2 0.500 0.000 0.000
Ag1 0.000 0.000 0.500
Ca1 0.500 0.500 0.500

Results
energy of formation from the pure elements	-0.19	eV/atom


[16]
A plane-wave DFT calculation with PBE was carried out for an optimized crystal structure of LiLaSm2.

a b c (Å): 3.706 5.826 5.826
angles (deg): 90.00 90.00 90.00
Positions (direct):
Sm1 0.000 0.000 0.500
Sm2 0.000 0.500 0.000
La1 0.500 0.500 0.500
Li1 0.500 0.000 0.000

Results
energy of formation from the pure elements	0.16	eV/atom


[17]
A plane-wave DFT calculation with PBE was carried out for an optimized crystal structure of GdErAg4.

a b c (Å): 5.702 5.702 5.702
angles (deg): 60.00 60.00 60.00
Positions (direct):
Ag1 0.625 0.625 0.125
Ag2 0.125 0.625 0.625
Ag3 0.625 0.125 0.625
Ag4 0.625 0.625 0.625
Gd1 0.250 0.250 0.250
Er1 0.000 0.000 0.000

Results
energy of formation from the pure elements	-0.17	eV/atom


[18]
A plane-wave DFT calculation with PBE was carried out for an optimized crystal structure of LaTb2PrHo4.

a b c (Å): 12.367 7.207 12.379
angles (deg): 125.60 131.37 90.03
Positions (direct):
La1 0.000 0.000 0.000
La2 0.500 0.500 0.500
Ho1 0.748 0.748 0.001
Ho2 0.748 0.747 0.494
Ho3 0.748 0.254 0.001
Ho4 0.748 0.242 0.494
Ho5 0.252 0.759 0.506
Ho6 0.252 0.253 0.506
Ho7 0.252 0.746 0.999
Ho8 0.252 0.252 0.999
Tb1 0.000 0.000 0.500
Tb2 0.500 0.500 0.000
Tb3 0.500 0.000 0.500
Tb4 0.500 0.000 0.000
Pr1 0.000 0.500 0.500
Pr2 0.000 0.500 0.000

Results
energy of formation from the pure elements	0.02	eV/atom


[19]
A plane-wave DFT calculation with PBE was carried out for an optimized crystal structure of Li2Be2GaCu5.

a b c (Å): 3.435 8.470 8.470
angles (deg): 90.00 90.00 90.00
Positions (direct):
Cu1 0.500 0.500 0.000
Cu2 0.500 0.710 0.428
Cu3 0.500 0.928 0.210
Cu4 0.500 0.290 0.572
Cu5 0.500 0.000 0.500
Cu6 0.500 0.072 0.790
Cu7 0.500 0.572 0.710
Cu8 0.500 0.428 0.290
Cu9 0.500 0.790 0.928
Cu10 0.500 0.210 0.072
Be1 0.000 0.115 0.615
Be2 0.000 0.385 0.115
Be3 0.000 0.885 0.385
Be4 0.000 0.615 0.885
Li1 0.000 0.677 0.177
Li2 0.000 0.823 0.677
Li3 0.000 0.323 0.823
Li4 0.000 0.177 0.323
Ga1 0.000 0.000 0.000
Ga2 0.000 0.500 0.500

Results
energy of formation from the pure elements	-0.05	eV/atom


[20]
A plane-wave DFT calculation with PBE was carried out for an optimized crystal structure of TaCrSe.

a b c (Å): 5.527 5.527 5.527
angles (deg): 146.42 146.42 48.23
Positions (direct):
Se1 0.320 0.320 0.000
Ta1 0.682 0.682 0.000
Cr1 0.998 0.998 0.000

Results
formation energy (no corrections)	0.136	eV per atom


| no. | VASP energy (eV/atom) | V (A^3/atom) | magnetization (μB per formula unit) |
| --- | --- | --- | --- |
| 1 | -7.797 | 13.322 | 0.73 |
| 2 | -6.340 | 26.648 | 7.32 |
| 3 | -6.944 | 18.123 | 0.00 |
| 4 | -4.804 | 9.373 | 0.00 |
| 5 | -2.523 | 35.521 | 4.05 |
| 6 | -8.107 | 16.464 | 0.00 |
| 7 | -3.779 | 26.846 | 0.10 |
| 8 | -3.263 | 38.357 | 0.00 |
| 9 | -6.084 | 16.754 | 0.00 |
| 10 | -3.672 | 18.792 | 0.00 |
| 11 | -10.065 | 21.531 | 0.00 |
| 12 | -7.076 | 7.829 | 0.00 |
| 13 | -6.299 | 24.678 | 0.00 |
| 14 | -4.757 | 18.065 | 0.00 |
| 15 | -4.902 | 33.038 | 0.00 |
| 16 | -3.914 | 31.440 | 0.00 |
| 17 | -5.181 | 21.851 | 7.17 |
| 18 | -4.637 | 32.618 | 0.00 |
| 19 | -3.524 | 12.320 | 0.00 |
| 20 | -8.184 | 17.147 | 3.36 |